# Cs6MoF12

An optimized crystal structure of Cs6MoF12 (GGA+U, Alexandria via LeMat-Bulk).

Values from the calculation:
V = 29.6 Å³ per atom
space group = R-3 (148)
magnetic moment = 2.080 μB per formula unit
electronic total energy = -82.65 eV per cell

Lattice parameters (Å, degrees): 8.4031 8.4031 8.4031 99.91 99.91 99.91
Closest atoms and distances in Å follow each position.
Positions (direct):
Cs (0.6710, 0.4119, 0.8540)  4 F 2.80-2.94
Cs (0.1460, 0.3290, 0.5881)  4 F 2.80-2.94
Cs (0.5881, 0.1460, 0.3290)  4 F 2.80-2.94
Cs (0.4119, 0.8540, 0.6710)  4 F 2.80-2.94
Cs (0.8540, 0.6710, 0.4119)  4 F 2.80-2.94
Cs (0.3290, 0.5881, 0.1460)  4 F 2.80-2.94
F (0.9753, 0.0740, 0.2234)  1 Mo 1.93
F (0.3962, 0.5860, 0.8291)  4 Cs 2.80-2.94
F (0.0247, 0.9260, 0.7766)  1 Mo 1.93
F (0.5860, 0.8291, 0.3962)  4 Cs 2.80-2.94
F (0.7766, 0.0247, 0.9260)  1 Mo 1.93
F (0.1709, 0.6038, 0.4140)  4 Cs 2.80-2.94
F (0.6038, 0.4140, 0.1709)  4 Cs 2.80-2.94
F (0.0740, 0.2234, 0.9753)  1 Mo 1.93
F (0.8291, 0.3962, 0.5860)  4 Cs 2.80-2.94
F (0.2234, 0.9753, 0.0740)  1 Mo 1.93
F (0.4140, 0.1709, 0.6038)  4 Cs 2.80-2.94
F (0.9260, 0.7766, 0.0247)  1 Mo 1.93
Mo (0.0000, 0.0000, 0.0000)  6 F 1.93